(1)
RbSrS2N | PBE | relaxed

Properties
The volume is 171.1 Å³/f.u. The calculation puts the magnetization at 0.805 μB per atom. The uncorrected formation energy is 0.100 eV per atom. The energy above the lowest structure with this stoichiometry comes out at 0.000 eV per atom. Its space-group type is No. 123.

abc: 5.763 5.763 5.152
angles: 90.00 90.00 90.00
Sites, in units of the cell vectors:
S (0.500, 0.000, 0.000)
S (0.000, 0.500, 0.000)
N (0.000, 0.000, 0.500)
Sr (0.000, 0.000, 0.000)
Rb (0.500, 0.500, 0.500)

=====

(2)
RbTaS2N | PBE | relaxed

Properties
The volume is 107.4 Å³/f.u. The calculation puts the magnetization at 0.000 μB per atom. The uncorrected formation energy is 2.452 eV per atom. The energy above the lowest structure with this stoichiometry comes out at 3.055 eV per atom. Its space-group type is No. 123.

abc: 5.181 5.181 4.001
angles: 90.00 90.00 90.00
Sites, in units of the cell vectors:
N (0.000, 0.000, 0.500)
Ta (0.500, 0.500, 0.500)
S (0.000, 0.500, 0.000)
S (0.500, 0.000, 0.000)
Rb (0.000, 0.000, 0.000)

=====

(3)
RbTaS2N | PBE | relaxed

Properties
The volume is 102.1 Å³/f.u. The calculation puts the magnetization at 0.205 μB per atom. The uncorrected formation energy is -0.603 eV per atom. The energy above the lowest structure with this stoichiometry comes out at 0.000 eV per atom. Its space-group type is No. 123.

abc: 4.993 4.993 4.096
angles: 90.00 90.00 90.00
Sites, in units of the cell vectors:
Rb (0.500, 0.500, 0.500)
S (0.000, 0.500, 0.000)
S (0.500, 0.000, 0.000)
Ta (0.000, 0.000, 0.000)
N (0.000, 0.000, 0.500)

=====

(4)
RbTeSN2 | PBE | relaxed

Properties
The volume is 162.9 Å³/f.u. The calculation puts the magnetization at 1.215 μB per atom. The uncorrected formation energy is 2.275 eV per atom. The energy above the lowest structure with this stoichiometry comes out at 1.294 eV per atom. Its space-group type is No. 123.

abc: 5.025 5.025 6.452
angles: 90.00 90.00 90.00
Sites, in units of the cell vectors:
S (0.000, 0.000, 0.500)
N (0.000, 0.500, 0.000)
N (0.500, 0.000, 0.000)
Rb (0.000, 0.000, 0.000)
Te (0.500, 0.500, 0.500)

=====

(5)
RbTeSN2 | PBE | relaxed

Properties
The volume is 101.3 Å³/f.u. The calculation puts the magnetization at 0.469 μB per atom. The uncorrected formation energy is 0.980 eV per atom. The energy above the lowest structure with this stoichiometry comes out at 0.000 eV per atom. Its space-group type is No. 123.

abc: 4.386 4.386 5.266
angles: 90.00 90.00 90.00
Sites, in units of the cell vectors:
Te (0.000, 0.000, 0.000)
N (0.500, 0.000, 0.000)
N (0.000, 0.500, 0.000)
Rb (0.500, 0.500, 0.500)
S (0.000, 0.000, 0.500)

=====

(6)
RbTeSN2 | PBE | relaxed

Properties
The volume is 114.7 Å³/f.u. The calculation puts the magnetization at 0.695 μB per atom. The uncorrected formation energy is 1.580 eV per atom. The energy above the lowest structure with this stoichiometry comes out at 0.600 eV per atom. Its space-group type is No. 123.

abc: 4.701 4.701 5.189
angles: 90.00 90.00 90.00
Sites, in units of the cell vectors:
Rb (0.500, 0.500, 0.500)
S (0.000, 0.000, 0.000)
Te (0.000, 0.000, 0.500)
N (0.000, 0.500, 0.000)
N (0.500, 0.000, 0.000)

=====

magnetization of number 2 (RbTaS2N)? 0.000 μB per atom